A relaxed Sr2DyScO5 crystal. Source: Alexandria via LeMat-Bulk, functional GGA-PBE.

It has space group Cmc2_1 (No. 36), with a = 3.526 Å, b = 14.018 Å, c = 11.090 Å, α = 90.00°, β = 90.00° and γ = 90.00°. The asymmetric unit holds Sr at (0.000, 0.101, 0.000), Sr at (0.000, 0.141, 0.604), Dy at (0.000, 0.220, 0.328), Sc at (0.000, 0.475, 0.771), O at (0.000, 0.055, 0.353), O at (0.000, 0.276, 0.967), O at (0.000, 0.316, 0.706), O at (0.000, 0.379, 0.315) and O at (0.000, 0.493, 0.097).

Its spin magnetization is 0.00 μB/atom. The formation energy (no corrections) is -3.160 eV/atom. As for the calculated density: 5.607 g cm⁻³. Its total energy is -7.503 eV per atom.



A relaxed Er3AgC crystal. Source: Alexandria via LeMat-Bulk, functional GGA-PBE.

It has space group Pm-3m (No. 221), with a = 4.843 Å, b = 4.843 Å, c = 4.843 Å, α = 90.00°, β = 90.00° and γ = 90.00°. The asymmetric unit holds Er at (0.000, 0.000, 0.500), Ag at (0.500, 0.500, 0.500) and C at (0.000, 0.000, 0.000).

The calculation puts the relative energy among the computed polymorphs at 0.060 eV/atom. Its spin magnetization is 0.12 μB/atom. As for the calculated density: 9.090 g cm⁻³. Its total energy is -5.394 eV per atom.